# 1
Tb2Sm2Y6Er: optimized geometry, PBE.

Lattice parameters (Å, degrees): 5.678 12.054 10.575 90.00 90.07 90.00
Space group C2/m (No. 12)
Symmetry-distinct sites (fractional):
Tb1 0.000 0.207 0.000 (multiplicity 4)
Sm1 0.000 0.133 0.500 (multiplicity 4)
Y1 0.001 0.000 0.797 (multiplicity 4)
Y2 0.001 0.348 0.707 (multiplicity 8)
Er1 0.000 0.500 0.000 (multiplicity 2)

Total magnetization = 0.00 Bohr magnetons per cell
Energy relative to the elements = 0.142 eV per atom

=====

# 2
Th3Zn7Co4: optimized geometry, PBE.

Lattice parameters (Å, degrees): 15.439 3.852 9.966 90.00 125.55 90.00
Space group C2/m (No. 12)
Symmetry-distinct sites (fractional):
Th1 0.000 0.000 0.000 (multiplicity 2)
Th2 0.198 0.500 0.717 (multiplicity 4)
Zn1 0.000 0.000 0.500 (multiplicity 2)
Zn2 0.021 0.500 0.300 (multiplicity 4)
Zn3 0.168 0.000 0.428 (multiplicity 4)
Zn4 0.170 0.500 0.999 (multiplicity 4)
Co1 0.107 0.000 0.799 (multiplicity 4)
Co2 0.162 0.500 0.248 (multiplicity 4)

Total magnetization = 0.00 Bohr magnetons per cell
Energy relative to the elements = -0.244 eV per atom

=====

# 3
LiTl3Zn2F9: optimized geometry, PBE.

Lattice parameters (Å, degrees): 5.8404 5.8404 7.1939 90.00 90.00 120.00
Space group P-3m1 (No. 164)
Symmetry-distinct sites (fractional):
Li1 0.0000 0.0000 0.0000 (multiplicity 1)
Tl1 0.0000 0.0000 0.5000 (multiplicity 1)
Tl2 0.3333 0.6667 0.1451 (multiplicity 2)
Zn1 0.3333 0.6667 0.6686 (multiplicity 2)
F1 0.0000 0.5000 0.5000 (multiplicity 3)
F2 0.1689 0.3378 0.8349 (multiplicity 6)

E_form (uncorrected) = -2.11 eV/atom
Total magnetization = 0.00 Bohr magnetons per cell